No. 1
Below is YVGe2 after structural relaxation, with properties calculated at the PBE-GGA level.

a = 6.7464 Å, b = 6.7464 Å, c = 6.7464 Å
α = 90.00°, β = 90.00°, γ = 90.00°
Last column: nearest neighbours and their distance in Å.
Space group Fm-3m (No. 225)
Inequivalent atoms, fractional coordinates:
Y 0.0000 0.0000 0.0000 [4 per cell]  8 Ge 2.92
V 0.0000 0.0000 0.5000 [4 per cell]  8 Ge 2.92
Ge 0.2500 0.2500 0.2500 [8 per cell]  4 Y 2.92, 4 V 2.92

Theoretical density, kg/m³: 6168
Formation energy, kJ/mol of atoms: -21.5
Polymorph energy (0 for the lowest one), meV/atom: 0

No. 2
Below is CsRb2BaPt after structural relaxation, with properties calculated at the PBE-GGA level.

a = 7.0575 Å, b = 7.0575 Å, c = 6.1179 Å
α = 90.00°, β = 90.00°, γ = 90.00°
Last column: nearest neighbours and their distance in Å.
Space group P4/mmm (No. 123)
Inequivalent atoms, fractional coordinates:
Cs 0.0000 0.0000 0.0000 [1 per cell]  8 Rb 4.67, 4 Ba 4.99
Rb 0.0000 0.5000 0.5000 [2 per cell]  2 Pt 3.53
Ba 0.5000 0.5000 0.0000 [1 per cell]  2 Pt 3.06
Pt 0.5000 0.5000 0.5000 [1 per cell]  2 Ba 3.06

Theoretical density, kg/m³: 3467
Formation energy, kJ/mol of atoms: -4.6

No. 3
Below is Ba3Sn2Pt2 after structural relaxation, with properties calculated at the PBE-GGA level.

a = 6.5052 Å, b = 9.1984 Å, c = 14.5868 Å
α = 90.00°, β = 90.00°, γ = 90.00°
Last column: nearest neighbours and their distance in Å.
Space group Pbcm (No. 57)
Inequivalent atoms, fractional coordinates:
Ba 0.1450 0.1067 0.0974 [8 per cell]  2 Pt 3.21-3.28, 2 Sn 3.54-3.58
Ba 0.3405 0.7429 0.7500 [4 per cell]  5 Sn 3.40-3.65, 4 Pt 3.52-3.59
Sn 0.1795 0.0949 0.7500 [4 per cell]  2 Pt 2.80
Sn 0.3751 0.7500 0.0000 [4 per cell]  4 Pt 2.81-2.90
Pt 0.3914 0.0334 0.5872 [8 per cell]  3 Sn 2.80-2.90, 1 Pt 2.97

Theoretical density, kg/m³: 7911
Formation energy, kJ/mol of atoms: -73.8

No. 4
Below is ReBPd after structural relaxation, with properties calculated at the PBE-GGA level.

a = 7.3225 Å, b = 7.9420 Å, c = 10.7126 Å
α = 90.00°, β = 90.00°, γ = 90.00°
Last column: nearest neighbours and their distance in Å.
Space group Fddd (No. 70, origin choice 2)
Inequivalent atoms, fractional coordinates:
Re 0.1250 0.1250 0.2629 [16 per cell]  4 B 2.14-2.23
B 0.1250 0.3205 0.1250 [16 per cell]  4 Re 2.14-2.23, 2 Pd 2.16
Pd 0.0000 0.0000 0.5000 [16 per cell]  2 B 2.16

Theoretical density, kg/m³: 12941
Formation energy, kJ/mol of atoms: 5.8

No. 5
Below is Gd2DyBe after structural relaxation, with properties calculated at the PBE-GGA level.

a = 3.4409 Å, b = 3.4409 Å, c = 34.3180 Å
α = 90.00°, β = 90.00°, γ = 120.00°
Last column: nearest neighbours and their distance in Å.
Space group R-3m (No. 166, hexagonal axes)
Inequivalent atoms, fractional coordinates:
Gd 0.0000 0.0000 0.0837 [6 per cell]  1 Be 2.87
Dy 0.0000 0.0000 0.5000 [3 per cell]  6 Dy 3.44, 6 Gd 3.47
Be 0.0000 0.0000 0.0000 [3 per cell]  2 Gd 2.87

Theoretical density, kg/m³: 6880
Formation energy, kJ/mol of atoms: 66.0
Polymorph energy (0 for the lowest one), meV/atom: 598

No. 6
Below is Be2ZnCl after structural relaxation, with properties calculated at the PBE-GGA level.

a = 2.7119 Å, b = 5.7183 Å, c = 8.8540 Å
α = 90.00°, β = 90.00°, γ = 90.00°
Last column: nearest neighbours and their distance in Å.
Space group Imm2 (No. 44)
Inequivalent atoms, fractional coordinates:
Be 0.0000 0.0000 0.0000 [2 per cell]  2 Be 2.27, 2 Zn 2.48
Be 0.0000 0.5000 0.2940 [2 per cell]  2 Cl 2.01
Zn 0.0000 0.5000 0.7349 [2 per cell]  2 Be 2.48, 2 Zn 2.71
Cl 0.0000 0.0000 0.6261 [2 per cell]  2 Be 2.01

Theoretical density, kg/m³: 2876
Polymorph energy (0 for the lowest one), meV/atom: 303

No. 7
Below is BeTeI2O after structural relaxation, with properties calculated at the PBE-GGA level.

a = 6.8948 Å, b = 6.8948 Å, c = 2.9404 Å
α = 90.00°, β = 90.00°, γ = 90.00°
Last column: nearest neighbours and their distance in Å.
Space group P4/mmm (No. 123)
Inequivalent atoms, fractional coordinates:
Be 0.0000 0.0000 0.0000 [1 per cell]  2 O 1.47
Te 0.5000 0.5000 0.5000 [1 per cell]  2 Te 2.94
I 0.0000 0.5000 0.0000 [2 per cell]  2 I 2.94
O 0.0000 0.0000 0.5000 [1 per cell]  2 Be 1.47

Theoretical density, kg/m³: 4828
Polymorph energy (0 for the lowest one), meV/atom: 0

No. 8
Below is LaP2SeS after structural relaxation, with properties calculated at the PBE-GGA level.

a = 5.6738 Å, b = 5.6738 Å, c = 5.3487 Å
α = 90.00°, β = 90.00°, γ = 90.00°
Last column: nearest neighbours and their distance in Å.
Space group P4/mmm (No. 123)
Inequivalent atoms, fractional coordinates:
La 0.0000 0.0000 0.0000 [1 per cell]  2 S 2.67, 4 P 2.84
P 0.0000 0.5000 0.0000 [2 per cell]  2 La 2.84
Se 0.5000 0.5000 0.5000 [1 per cell]  8 P 3.90, 4 S 4.01
S 0.0000 0.0000 0.5000 [1 per cell]  2 La 2.67

Theoretical density, kg/m³: 3008
Polymorph energy (0 for the lowest one), meV/atom: 991

No. 9
Below is LiScAsPd after structural relaxation, with properties calculated at the PBE-GGA level.

a = 6.4304 Å, b = 6.4304 Å, c = 6.4304 Å
α = 90.00°, β = 90.00°, γ = 90.00°
Last column: nearest neighbours and their distance in Å.
Space group F-43m (No. 216)
Inequivalent atoms, fractional coordinates:
Li 0.0000 0.0000 0.0000 [4 per cell]  4 As 2.78, 4 Pd 2.78
Sc 0.0000 0.0000 0.5000 [4 per cell]  4 Pd 2.78, 4 As 2.78
As 0.2500 0.2500 0.2500 [4 per cell]  4 Li 2.78, 4 Sc 2.78
Pd 0.2500 0.2500 0.7500 [4 per cell]  4 Li 2.78, 4 Sc 2.78

Theoretical density, kg/m³: 5826
Formation energy, kJ/mol of atoms: -78.2

No. 10
Below is SmCd2SnPd4 after structural relaxation, with properties calculated at the PBE-GGA level.

a = 4.7943 Å, b = 4.7943 Å, c = 22.8789 Å
α = 90.00°, β = 90.00°, γ = 120.00°
Last column: nearest neighbours and their distance in Å.
Space group R-3m (No. 166, hexagonal axes)
Inequivalent atoms, fractional coordinates:
Sm 0.0000 0.0000 0.0000 [3 per cell]  8 Pd 2.99, 6 Cd 3.31
Cd 0.0000 0.0000 0.2539 [6 per cell]  8 Pd 2.81-3.01
Sn 0.0000 0.0000 0.5000 [3 per cell]  8 Pd 2.69-2.89
Pd 0.0000 0.0000 0.1309 [6 per cell]  4 Cd 2.81-3.01, 3 Sn 2.89, 1 Sm 2.99
Pd 0.0000 0.0000 0.3824 [6 per cell]  1 Sn 2.69, 4 Cd 2.85-2.94, 3 Sm 2.99

Theoretical density, kg/m³: 10059
Formation energy, kJ/mol of atoms: -55.5

No. 11
Below is Ba2AlTeO6 after structural relaxation, with properties calculated at the PBE-GGA level.

a = 5.9022 Å, b = 5.9022 Å, c = 29.2232 Å
α = 90.00°, β = 90.00°, γ = 120.00°
Last column: nearest neighbours and their distance in Å.
Space group R-3m (No. 166, hexagonal axes)
Inequivalent atoms, fractional coordinates:
Ba 0.0000 0.0000 0.1244 [6 per cell]  12 O 2.95-3.11
Ba 0.0000 0.0000 0.2859 [6 per cell]  12 O 2.95-3.13
Al 0.0000 0.0000 0.4055 [6 per cell]  3 O 1.83
Te 0.0000 0.0000 0.0000 [3 per cell]  6 O 2.18
Te 0.0000 0.0000 0.5000 [3 per cell]  6 O 1.95
O 0.0131 0.5066 0.2896 [18 per cell]  1 Al 1.83
O 0.0372 0.5186 0.1248 [18 per cell]  1 Te 1.95, 1 Al 2.16

Theoretical density, kg/m³: 5936

No. 12
Below is PuFeCo10 after structural relaxation, with properties calculated at the PBE-GGA level.

a = 4.0132 Å, b = 4.7007 Å, c = 8.2656 Å
α = 90.00°, β = 90.00°, γ = 90.00°
Last column: nearest neighbours and their distance in Å.
Space group Pmmm (No. 47)
Inequivalent atoms, fractional coordinates:
Pu 0.0000 0.0000 0.0000 [1 per cell]  18 Co 2.85-3.14
Fe 0.0000 0.5000 0.5000 [1 per cell]  6 Co 2.52-2.66
Co 0.0000 0.0000 0.3483 [2 per cell]  7 Co 2.37-2.51
Co 0.0000 0.5000 0.1950 [2 per cell]  6 Co 2.37-2.57, 1 Fe 2.52
Co 0.5000 0.0000 0.5000 [1 per cell]  8 Co 2.35-2.37
Co 0.5000 0.2511 0.2547 [4 per cell]  8 Co 2.34-2.45
Co 0.5000 0.5000 0.0000 [1 per cell]  8 Co 2.41-2.57

Theoretical density, kg/m³: 9469
Formation energy, kJ/mol of atoms: 10.5

No. 13
Below is NaScNiBi2 after structural relaxation, with properties calculated at the PBE-GGA level.

a = 5.3178 Å, b = 5.3178 Å, c = 4.9484 Å
α = 90.00°, β = 90.00°, γ = 90.00°
Last column: nearest neighbours and their distance in Å.
Space group P4/mmm (No. 123)
Inequivalent atoms, fractional coordinates:
Na 0.0000 0.0000 0.0000 [1 per cell]  2 Sc 2.47, 4 Bi 2.66
Sc 0.0000 0.0000 0.5000 [1 per cell]  2 Na 2.47
Ni 0.5000 0.5000 0.5000 [1 per cell]  8 Bi 3.63, 4 Sc 3.76
Bi 0.0000 0.5000 0.0000 [2 per cell]  2 Na 2.66

Theoretical density, kg/m³: 6462
Formation energy, kJ/mol of atoms: 103.7
Polymorph energy (0 for the lowest one), meV/atom: 251

No. 14
Below is ZnBi2Au2 after structural relaxation, with properties calculated at the PBE-GGA level.

a = 3.8700 Å, b = 3.8700 Å, c = 16.5851 Å
α = 90.00°, β = 90.00°, γ = 90.00°
Last column: nearest neighbours and their distance in Å.
Space group I4/mmm (No. 139)
Inequivalent atoms, fractional coordinates:
Zn 0.0000 0.0000 0.0000 [2 per cell]  8 Bi 3.23
Bi 0.0000 0.0000 0.3968 [4 per cell]  4 Au 3.11, 4 Zn 3.23, 1 Bi 3.42
Au 0.0000 0.5000 0.2500 [4 per cell]  4 Au 2.74

Theoretical density, kg/m³: 11730
Formation energy, kJ/mol of atoms: 12.1
Polymorph energy (0 for the lowest one), meV/atom: 108

No. 15
Below is Tb5NdHo2Er after structural relaxation, with properties calculated at the PBE-GGA level.

a = 5.6142 Å, b = 19.8538 Å, c = 10.5458 Å
α = 90.00°, β = 90.00°, γ = 90.00°
Last column: nearest neighbours and their distance in Å.
Space group Cmc2_1 (No. 36)
Inequivalent atoms, fractional coordinates:
Tb 0.0000 0.0179 0.0000 [4 per cell]  2 Nd 3.19, 3 Ho 3.39-3.56
Tb 0.0000 0.2810 0.2902 [4 per cell]  1 Nd 3.04, 1 Ho 3.31, 2 Tb 3.40
Tb 0.0000 0.2982 0.6855 [4 per cell]  4 Tb 3.40-3.74, 3 Er 3.49-3.75, 3 Ho 3.50-3.72, 1 Nd 3.56
Tb 0.0000 0.3863 0.9995 [4 per cell]  6 Tb 3.51-3.84, 4 Ho 3.54-3.59, 1 Er 3.71
Tb 0.0000 0.4791 0.7153 [4 per cell]  2 Nd 3.09-3.27
Nd 0.0000 0.4152 0.4299 [4 per cell]  5 Tb 3.04-3.27
Ho 0.0000 0.1116 0.7119 [4 per cell]  1 Er 3.40, 7 Tb 3.41-3.72, 2 Nd 3.67
Ho 0.0000 0.1140 0.2953 [4 per cell]  9 Tb 3.31-3.65, 1 Er 3.65
Er 0.0000 0.1994 0.9890 [4 per cell]  2 Ho 3.40-3.65, 8 Tb 3.49-3.75, 2 Nd 3.67

Theoretical density, kg/m³: 8114
Formation energy, kJ/mol of atoms: 15.2

No. 16
Below is Tm6SbSe2S3 after structural relaxation, with properties calculated at the PBE-GGA level.

a = 17.4572 Å, b = 3.9594 Å, c = 8.0470 Å
α = 90.00°, β = 104.27°, γ = 90.00°
Last column: nearest neighbours and their distance in Å.
Space group C2/m (No. 12)
Inequivalent atoms, fractional coordinates:
Tm 0.0051 0.0000 0.2280 [4 per cell]  3 S 2.69-2.72, 1 Se 2.95, 2 Sb 2.97
Tm 0.1606 0.5000 0.0955 [4 per cell]  3 S 2.71-2.72, 3 Se 2.89-2.92
Tm 0.1745 0.5000 0.5660 [4 per cell]  3 S 2.71-2.73, 2 Se 2.95, 1 Sb 2.96
Sb 0.0000 0.5000 0.5000 [2 per cell]  6 Tm 2.96-2.97
Se 0.1689 0.0000 0.8343 [4 per cell]  6 Tm 2.89-2.95
S 0.0000 0.5000 0.0000 [2 per cell]  6 Tm 2.69-2.72
S 0.1658 0.0000 0.3281 [4 per cell]  6 Tm 2.71-2.73

Theoretical density, kg/m³: 8561

No. 17
Below is YTaSn3 after structural relaxation, with properties calculated at the PBE-GGA level.

a = 5.3283 Å, b = 5.3283 Å, c = 5.3283 Å
α = 90.00°, β = 90.00°, γ = 90.00°
Last column: nearest neighbours and their distance in Å.
Space group Pm-3m (No. 221)
Inequivalent atoms, fractional coordinates:
Y 0.0000 0.0000 0.0000 [1 per cell]  12 Sn 3.77
Ta 0.5000 0.5000 0.5000 [1 per cell]  6 Sn 2.66
Sn 0.0000 0.5000 0.5000 [3 per cell]  2 Ta 2.66

Theoretical density, kg/m³: 6871
Formation energy, kJ/mol of atoms: 26.6
Polymorph energy (0 for the lowest one), meV/atom: 0

No. 18
Below is Mg5Si6 after structural relaxation, with properties calculated at the PBE-GGA level.

a = 30.0062 Å, b = 4.0232 Å, c = 6.7386 Å
α = 90.00°, β = 97.86°, γ = 90.00°
Last column: nearest neighbours and their distance in Å.
Space group Cm (No. 8)
Inequivalent atoms, fractional coordinates:
Mg 0.0000 0.0000 0.0000 [2 per cell]  9 Si 2.82-3.05, 2 Mg 3.11
Mg 0.0296 0.5000 0.3442 [2 per cell]  6 Si 2.66-2.90
Mg 0.0792 0.0000 0.6755 [2 per cell]  9 Si 2.83-3.01
Mg 0.1616 0.0000 0.0922 [2 per cell]  5 Si 2.66-2.88, 1 Mg 2.91
Mg 0.2072 0.0000 0.6841 [2 per cell]  6 Si 2.93-2.99, 1 Mg 3.24
Mg 0.2572 0.0000 0.2448 [2 per cell]  6 Si 2.78-2.88, 1 Mg 2.91
Mg 0.2921 0.5000 0.5864 [2 per cell]  4 Si 2.70-2.92
Mg 0.3288 0.0000 0.9151 [2 per cell]  8 Si 2.89-3.03, 2 Mg 3.08
Mg 0.3679 0.0000 0.4491 [2 per cell]  8 Si 2.82-3.15
Mg 0.4582 0.5000 0.5019 [2 per cell]  8 Si 2.89-2.99, 2 Mg 3.22
Si 0.0136 0.5000 0.7222 [2 per cell]  2 Si 2.42-2.45, 1 Mg 2.66
Si 0.0764 0.5000 0.9957 [2 per cell]  4 Si 2.45-2.65
Si 0.0858 0.0000 0.2547 [2 per cell]  4 Si 2.60-2.65, 5 Mg 2.66-2.89
Si 0.1266 0.5000 0.4459 [2 per cell]  4 Si 2.40-2.60
Si 0.1427 0.5000 0.8100 [2 per cell]  2 Si 2.43-2.49
Si 0.2020 0.5000 0.3659 [2 per cell]  1 Si 2.40
Si 0.2595 0.5000 0.9412 [2 per cell]  1 Si 2.41
Si 0.3198 0.5000 0.2159 [2 per cell]  2 Si 2.40-2.41
Si 0.3870 0.5000 0.7553 [2 per cell]  3 Si 2.47-2.51
Si 0.3945 0.5000 0.1242 [2 per cell]  4 Si 2.40-2.47
Si 0.4374 0.0000 0.8040 [2 per cell]  4 Si 2.42-2.51
Si 0.4420 0.0000 0.1757 [2 per cell]  3 Si 2.46-2.49, 1 Mg 2.72

Theoretical density, kg/m³: 2391
Polymorph energy (0 for the lowest one), meV/atom: 28

No. 19
Below is CdInNi2 after structural relaxation, with properties calculated at the PBE-GGA level.

a = 3.0585 Å, b = 4.4145 Å, c = 9.3318 Å
α = 90.00°, β = 90.00°, γ = 90.00°
Last column: nearest neighbours and their distance in Å.
Space group Imm2 (No. 44)
Inequivalent atoms, fractional coordinates:
Cd 0.0000 0.0000 0.0000 [2 per cell]  6 Ni 2.70-2.85, 2 In 3.00
In 0.0000 0.5000 0.7824 [2 per cell]  6 Ni 2.71-2.77, 2 Cd 3.00
Ni 0.0000 0.0000 0.5305 [2 per cell]  2 Ni 2.50, 4 Cd 2.70, 2 In 2.77
Ni 0.0000 0.5000 0.2426 [2 per cell]  2 Ni 2.50, 4 In 2.71

Theoretical density, kg/m³: 9084
Formation energy, kJ/mol of atoms: 4.4

No. 20
Below is LiNp2Br8 after structural relaxation, with properties calculated at the PBE-GGA level.

a = 14.4294 Å, b = 8.5190 Å, c = 7.4652 Å
α = 90.00°, β = 113.66°, γ = 90.00°
Last column: nearest neighbours and their distance in Å.
Space group C2/m (No. 12)
Inequivalent atoms, fractional coordinates:
Li 0.0000 0.0000 0.0000 [2 per cell]  6 Br 2.75-2.84
Np 0.1252 0.0000 0.5524 [4 per cell]  4 Br 2.66-2.93
Br 0.0300 0.2059 0.7441 [8 per cell]  1 Li 2.75, 2 Np 2.93-3.00
Br 0.1895 0.5000 0.1642 [4 per cell]  1 Np 2.66
Br 0.2048 0.0000 0.2746 [4 per cell]  1 Np 2.74, 1 Li 2.84

Theoretical density, kg/m³: 4426
Polymorph energy (0 for the lowest one), meV/atom: 0

Sequential total magnetic moment output: 11.07 0.77 0.00 0.00 45.02 0.00 0.00 2.23 0.00 0.00 0.00 13.78 0.25 0.00 0.00 0.00 0.00 0.00 0.00 14.00 μB/cell
Sequential Fermi-level density of states output: 1.480 4.004 3.251 1.608 4.927 1.314 2.698 7.373 1.622 2.514 0.000 18.764 5.362 3.458 14.492 3.257 4.388 2.941 2.946 12.920 states/eV/f.u.
Sequential energy output: -102.83 -10.99 -124.85 -386.18 -101.26 -18.34 -17.78 -19.20 -85.32 -107.77 -379.56 -92.55 -15.82 -29.93 -160.88 -141.16 -28.95 -159.73 -30.07 -108.74 eV for the cell shown